Record 1
Computed, not measured: a relaxed structure of Cd2Ge2As at the PBE level of DFT.

## Properties
As for the energy above the most stable polymorph in this dataset: 0.76 eV/f.u. The value obtained for the formation energy is 0.41 eV per atom. The uncorrected energy comes out at -0.201 Ry/atom.

Cell lengths 4.5073, 4.5073, 11.2910 Å; angles 90.00, 90.00, 90.00 degrees
Closest atoms and distances in Å follow each position.
Space group I4/mmm (No. 139)
Unique sites:
Cd  0.0000  0.5000  0.2500 x4  4 Ge 2.78
Ge  0.0000  0.0000  0.1056 x4  1 Ge 2.39
As  0.0000  0.0000  0.5000 x2  8 Ge 3.40, 8 Cd 3.61

---

Record 2
Computed, not measured: a relaxed structure of CdGe3As at the PBE level of DFT.

## Properties
As for the energy above the most stable polymorph in this dataset: 0.00 eV/f.u. The value obtained for the formation energy is 0.66 eV per atom. The uncorrected energy comes out at -0.237 Ry/atom.

Cell lengths 5.0706, 5.0706, 5.0706 Å; angles 90.00, 90.00, 90.00 degrees
Closest atoms and distances in Å follow each position.
Space group Pm-3m (No. 221)
Unique sites:
Cd  0.0000  0.0000  0.0000 x1  12 Ge 3.59
Ge  0.0000  0.5000  0.5000 x3  2 As 2.54
As  0.5000  0.5000  0.5000 x1  6 Ge 2.54

---

Record 3
Computed, not measured: a relaxed structure of Cd2GeAs2 at the PBE level of DFT.

## Properties
As for the energy above the most stable polymorph in this dataset: 0.40 eV/f.u. The value obtained for the formation energy is 0.29 eV per atom. The uncorrected energy comes out at -0.210 Ry/atom.

Cell lengths 4.1427, 4.1427, 13.4373 Å; angles 90.00, 90.00, 90.00 degrees
Closest atoms and distances in Å follow each position.
Space group I4/mmm (No. 139)
Unique sites:
Cd  0.0000  0.5000  0.2500 x4  4 As 2.88, 4 Cd 2.93
Ge  0.0000  0.0000  0.0000 x2  8 As 3.23
As  0.0000  0.0000  0.3990 x4  1 As 2.71, 4 Cd 2.88

---

Record 4
Computed, not measured: a relaxed structure of CdGe2As at the PBE level of DFT.

## Properties
As for the energy above the most stable polymorph in this dataset: 0.71 eV/f.u. The value obtained for the formation energy is 0.34 eV per atom. The uncorrected energy comes out at -0.247 Ry/atom.

Cell lengths 6.9154, 6.9154, 6.9154 Å; angles 90.00, 90.00, 90.00 degrees
Closest atoms and distances in Å follow each position.
Space group Fm-3m (No. 225)
Unique sites:
Cd  0.0000  0.0000  0.0000 x4  8 Ge 2.99
Ge  0.2500  0.2500  0.2500 x8  4 Cd 2.99, 4 As 2.99
As  0.0000  0.0000  0.5000 x4  8 Ge 2.99

---

Record 5
Computed, not measured: a relaxed structure of CdGe2As2 at the PBE level of DFT.

## Properties
As for the energy above the most stable polymorph in this dataset: 0.22 eV/f.u. The value obtained for the formation energy is 0.27 eV per atom. The uncorrected energy comes out at -0.266 Ry/atom.

Cell lengths 7.7712, 7.7712, 3.4560 Å; angles 90.00, 90.00, 90.00 degrees
Closest atoms and distances in Å follow each position.
Space group P4/mbm (No. 127)
Unique sites:
Cd  0.0000  0.0000  0.0000 x2  4 Ge 3.02
Ge  0.1360  0.3640  0.0000 x4  6 As 2.83-2.90, 1 Ge 2.99, 2 Cd 3.02
As  0.1523  0.6523  0.5000 x4  6 Ge 2.83-2.90

---

Record 6
Computed, not measured: a relaxed structure of CdGe3As at the PBE level of DFT.

## Properties
As for the energy above the most stable polymorph in this dataset: 1.46 eV/f.u. The value obtained for the formation energy is 0.96 eV per atom. The uncorrected energy comes out at -0.215 Ry/atom.

Cell lengths 5.1060, 5.1060, 5.1060 Å; angles 90.00, 90.00, 90.00 degrees
Closest atoms and distances in Å follow each position.
Space group Pm-3m (No. 221)
Unique sites:
Cd  0.0000  0.0000  0.0000 x1  6 Ge 2.55
Ge  0.0000  0.0000  0.5000 x3  2 Cd 2.55
As  0.5000  0.5000  0.5000 x1  12 Ge 3.61

---

Record 7
Computed, not measured: a relaxed structure of Cd12Ge3As5 at the PBE level of DFT.

## Properties
The value obtained for the formation energy is 0.05 eV per atom. The uncorrected energy comes out at -0.173 Ry/atom.

Cell lengths 16.0357, 16.0357, 16.0357 Å; angles 90.00, 90.00, 90.00 degrees
Closest atoms and distances in Å follow each position.
Space group Ia-3d (No. 230)
Unique sites:
Cd  0.0252  0.0807  0.6497 x96  2 As 2.61-2.76, 1 Ge 2.77
Ge  0.0000  0.2500  0.1250 x24  4 Cd 2.77
As  0.0000  0.0000  0.0000 x16  6 Cd 2.76
As  0.0000  0.2500  0.3750 x24  4 Cd 2.61

---

Record 8
Computed, not measured: a relaxed structure of Cd2GeAs at the PBE level of DFT.

## Properties
As for the energy above the most stable polymorph in this dataset: 0.29 eV/f.u. The value obtained for the formation energy is 0.27 eV per atom. The uncorrected energy comes out at -0.184 Ry/atom.

Cell lengths 7.0104, 7.0104, 7.0104 Å; angles 90.00, 90.00, 90.00 degrees
Closest atoms and distances in Å follow each position.
Space group Fm-3m (No. 225)
Unique sites:
Cd  0.2500  0.2500  0.2500 x8  4 Ge 3.04, 4 As 3.04
Ge  0.0000  0.0000  0.0000 x4  8 Cd 3.04
As  0.0000  0.0000  0.5000 x4  8 Cd 3.04

---

Record 9
Computed, not measured: a relaxed structure of K2CdGeAs at the PBE level of DFT.

## Properties
The value obtained for the formation energy is 0.08 eV per atom. The uncorrected energy comes out at -0.176 Ry/atom.

Cell lengths 6.4406, 6.4406, 4.9833 Å; angles 90.00, 90.00, 90.00 degrees
Closest atoms and distances in Å follow each position.
Space group P4/mmm (No. 123)
Unique sites:
K  0.0000  0.5000  0.0000 x2  2 Ge 3.22
Cd  0.0000  0.0000  0.5000 x1  8 K 4.07, 4 As 4.55
Ge  0.5000  0.5000  0.0000 x1  2 As 2.49
As  0.5000  0.5000  0.5000 x1  2 Ge 2.49

---

Record 10
Computed, not measured: a relaxed structure of KCdGeAs2 at the PBE level of DFT.

## Properties
The value obtained for the formation energy is -0.31 eV per atom. The uncorrected energy comes out at -0.257 Ry/atom.

Cell lengths 8.1643, 8.5926, 8.8422 Å; angles 70.72, 75.29, 73.26 degrees
Closest atoms and distances in Å follow each position.
Space group P-1 (No. 2)
Unique sites:
K  0.0422  0.2365  0.1778 x2  5 As 3.35-3.64
K  0.0609  0.1972  0.6893 x2  7 As 3.37-3.75
Cd  0.4688  0.8226  0.6681 x2  3 As 2.68-2.76
Cd  0.4924  0.8991  0.1879 x2  4 As 2.69-2.94
Ge  0.3411  0.5515  0.5254 x2  1 Ge 2.46, 3 As 2.48-2.51
Ge  0.4560  0.5870  0.0981 x2  3 As 2.49-2.52, 1 Ge 2.49
As  0.2541  0.4466  0.3315 x2  2 Ge 2.49-2.50, 1 Cd 2.73
As  0.2555  0.8675  0.4639 x2  1 Ge 2.51, 2 Cd 2.68-2.69
As  0.2734  0.4060  0.8193 x2  2 Ge 2.48-2.52, 1 Cd 2.77
As  0.2952  0.8742  0.9645 x2  1 Ge 2.49, 2 Cd 2.76-2.77

---

Record 11
Computed, not measured: a relaxed structure of MnCdGe2As at the PBE level of DFT.

## Properties
The value obtained for the formation energy is 1.08 eV per atom. The uncorrected energy comes out at -0.273 Ry/atom.

Cell lengths 5.1393, 5.1393, 5.0975 Å; angles 90.00, 90.00, 90.00 degrees
Closest atoms and distances in Å follow each position.
Space group P4/mmm (No. 123)
Unique sites:
Mn  0.0000  0.0000  0.0000 x1  2 Cd 2.55
Cd  0.0000  0.0000  0.5000 x1  2 Mn 2.55, 4 Ge 2.57
Ge  0.0000  0.5000  0.5000 x2  2 Cd 2.57
As  0.5000  0.5000  0.0000 x1  8 Ge 3.62, 4 Mn 3.63

---

Record 12
Computed, not measured: a relaxed structure of CdGe2AsO6 at the PBE level of DFT.

## Properties
For the uncorrected formation energy, the calculation gives -1.250 eV per atom. The uncorrected energy comes out at -0.419 Ry/atom.

Cell lengths 10.4494, 9.3261, 6.1046 Å; angles 90.00, 108.74, 90.00 degrees
Closest atoms and distances in Å follow each position.
Space group C2/c (No. 15)
Unique sites:
Cd  0.0000  0.1081  0.2500 x4  6 O 2.24-2.45
Ge  0.2045  0.4109  0.2167 x8  4 O 1.81-1.91
As  0.0000  0.2577  0.7500 x4  2 O 1.89
O  0.1036  0.1131  0.6694 x8  1 As 1.89, 1 Ge 1.91
O  0.1281  0.2419  0.0979 x8  1 Ge 1.81
O  0.1692  0.4546  0.4869 x8  2 Ge 1.83-1.85

---

Record 13
Computed, not measured: a relaxed structure of Cd2GeAsOs at the PBE level of DFT.

## Properties
The value obtained for the formation energy is 1.48 eV per atom. The uncorrected energy comes out at -0.219 Ry/atom.

Cell lengths 4.9926, 4.9926, 5.0226 Å; angles 90.00, 90.00, 90.00 degrees
Closest atoms and distances in Å follow each position.
Space group P4/mmm (No. 123)
Unique sites:
Cd  0.0000  0.5000  0.0000 x2  2 As 2.50
Ge  0.0000  0.0000  0.5000 x1  2 As 2.51
As  0.0000  0.0000  0.0000 x1  4 Cd 2.50, 2 Ge 2.51
Os  0.5000  0.5000  0.5000 x1  4 Ge 3.53, 8 Cd 3.54

---

Record 14
Computed, not measured: a relaxed structure of CdGeAsP at the PBE level of DFT.

## Properties
The value obtained for the formation energy is -0.09 eV per atom. The uncorrected energy comes out at -0.293 Ry/atom.

Cell lengths 5.8717, 5.9630, 11.2250 Å; angles 90.00, 90.00, 90.00 degrees
Closest atoms and distances in Å follow each position.
Space group I2_12_12_1 (No. 24)
Unique sites:
Cd  0.0000  0.2500  0.1159 x4  2 P 2.60, 2 As 2.66
Ge  0.0000  0.2500  0.6216 x4  2 P 2.38, 2 As 2.46
As  0.2270  0.0000  0.7500 x4  2 Ge 2.46, 2 Cd 2.66
P  0.2500  0.4640  0.5000 x4  2 Ge 2.38, 2 Cd 2.60

---

Record 15
Computed, not measured: a relaxed structure of CdSnGeAsP at the PBE level of DFT.

## Properties
As for the energy above the most stable polymorph in this dataset: 0.27 eV/f.u. The value obtained for the formation energy is 0.04 eV per atom. The uncorrected energy comes out at -0.285 Ry/atom.

Cell lengths 5.4699, 3.9181, 6.3263 Å; angles 90.00, 113.92, 90.00 degrees
Closest atoms and distances in Å follow each position.
Space group Pm (No. 6)
Unique sites:
Cd  0.0000  0.0000  0.0000 x1  2 P 2.65, 1 As 2.66, 1 Sn 2.94
Sn  0.5813  0.0000  0.2768 x1  1 As 2.73, 2 P 2.74, 1 Cd 2.94
Ge  0.3848  0.5000  0.6114 x1  1 P 2.45, 2 As 2.55
As  0.0875  0.0000  0.6155 x1  2 Ge 2.55, 1 Cd 2.66, 1 Sn 2.73
P  0.6860  0.5000  0.0226 x1  1 Ge 2.45, 2 Cd 2.65, 2 Sn 2.74

---

Record 16
Computed, not measured: a relaxed structure of CdSnGeAsP at the PBE level of DFT.

## Properties
As for the energy above the most stable polymorph in this dataset: 0.73 eV/f.u. The value obtained for the formation energy is 0.13 eV per atom. The uncorrected energy comes out at -0.278 Ry/atom.

Cell lengths 4.5132, 5.1872, 6.0025 Å; angles 112.99, 99.66, 96.18 degrees
Closest atoms and distances in Å follow each position.
Space group P1 (No. 1)
Unique sites:
Cd  0.0000  0.0000  0.0000 x1  1 P 2.66, 2 Ge 2.72-2.75, 1 As 2.72
Sn  0.5243  0.7699  0.5121 x1  2 As 2.74-3.05, 1 P 2.78, 1 Ge 2.78, 1 Cd 3.04
Ge  0.4654  0.7141  0.0262 x1  1 P 2.36
As  0.0112  0.3996  0.4613 x1  1 P 2.35
P  0.2615  0.2355  0.7423 x1  1 As 2.35, 1 Ge 2.36

---

Record 17
Computed, not measured: a relaxed structure of CdSnGeAsP at the PBE level of DFT.

## Properties
As for the energy above the most stable polymorph in this dataset: 0.22 eV/f.u. The value obtained for the formation energy is 0.03 eV per atom. The uncorrected energy comes out at -0.286 Ry/atom.

Cell lengths 12.2307, 3.8402, 6.6220 Å; angles 90.00, 121.87, 90.00 degrees
Closest atoms and distances in Å follow each position.
Space group Cm (No. 8)
Unique sites:
Cd  0.0000  0.0000  0.0000 x2  1 Ge 2.64, 1 P 2.70, 2 As 2.81
Sn  0.3340  0.0000  0.3053 x2  1 P 2.68, 2 As 2.79
Ge  0.2460  0.5000  0.7481 x2  2 P 2.40, 1 As 2.48, 1 Cd 2.64
As  0.1730  0.5000  0.3202 x2  1 Ge 2.48
P  0.1609  0.0000  0.8364 x2  2 Ge 2.40, 1 Sn 2.68

---

Record 18
Computed, not measured: a relaxed structure of CdSnGeAsP at the PBE level of DFT.

## Properties
As for the energy above the most stable polymorph in this dataset: 0.89 eV/f.u. The value obtained for the formation energy is 0.16 eV per atom. The uncorrected energy comes out at -0.276 Ry/atom.

Cell lengths 3.6086, 5.5659, 6.1448 Å; angles 84.72, 85.71, 73.18 degrees
Closest atoms and distances in Å follow each position.
Space group P1 (No. 1)
Unique sites:
Cd  0.0000  0.0000  0.0000 x1  2 P 2.81-2.98, 1 Ge 2.82, 3 Sn 2.96-3.13
Sn  0.2777  0.4619  0.9110 x1  1 As 2.81, 3 Cd 2.96-3.13
Ge  0.8773  0.0353  0.5484 x1  2 P 2.45-2.46, 1 As 2.57
As  0.3535  0.4497  0.4533 x1  1 P 2.37, 1 Ge 2.57
P  0.4900  0.8366  0.3510 x1  1 As 2.37, 2 Ge 2.45-2.46

---

Record 19
Computed, not measured: a relaxed structure of CdSnGeAsP at the PBE level of DFT.

## Properties
As for the energy above the most stable polymorph in this dataset: 0.48 eV/f.u. The value obtained for the formation energy is 0.08 eV per atom. The uncorrected energy comes out at -0.282 Ry/atom.

Cell lengths 12.5261, 3.4143, 6.9323 Å; angles 90.00, 122.57, 90.00 degrees
Closest atoms and distances in Å follow each position.
Space group Cm (No. 8)
Unique sites:
Cd  0.0000  0.0000  0.0000 x2  1 P 2.55, 1 Ge 2.63
Sn  0.4317  0.0000  0.5879 x2  1 Ge 2.69, 1 As 2.70
Ge  0.2418  0.0000  0.1443 x2  2 P 2.35, 1 Cd 2.63
As  0.1420  0.5000  0.5698 x2  1 P 2.34
P  0.2866  0.5000  0.9656 x2  1 As 2.34, 2 Ge 2.35, 1 Cd 2.55

---

Record 20
Computed, not measured: a relaxed structure of CdSnGeAsP at the PBE level of DFT.

## Properties
As for the energy above the most stable polymorph in this dataset: 0.52 eV/f.u. The value obtained for the formation energy is 0.09 eV per atom. The uncorrected energy comes out at -0.282 Ry/atom.

Cell lengths 3.8587, 5.9726, 6.3228 Å; angles 65.28, 72.62, 71.58 degrees
Closest atoms and distances in Å follow each position.
Space group P1 (No. 1)
Unique sites:
Cd  0.0000  0.0000  0.0000 x1  1 P 2.53, 2 As 2.73-2.74
Sn  0.3504  0.7088  0.5738 x1  2 As 2.81-2.82, 1 Ge 3.00
Ge  0.1311  0.2637  0.4865 x1  2 P 2.45
As  0.6888  0.6984  0.9178 x1  1 P 2.36
P  0.7407  0.2996  0.2260 x1  1 As 2.36, 2 Ge 2.45, 1 Cd 2.53

---

Record 21
Computed, not measured: a relaxed structure of CdSnGeAsP at the PBE level of DFT.

## Properties
As for the energy above the most stable polymorph in this dataset: 0.00 eV/f.u. The value obtained for the formation energy is -0.02 eV per atom. The uncorrected energy comes out at -0.289 Ry/atom.

Cell lengths 3.9479, 5.1278, 6.6410 Å; angles 112.52, 90.30, 91.35 degrees
Closest atoms and distances in Å follow each position.
Space group P1 (No. 1)
Unique sites:
Cd  0.0000  0.0000  0.0000 x1  1 P 2.61, 1 Ge 2.75, 1 As 2.76, 1 Sn 2.88
Sn  0.7622  0.5178  0.3225 x1  1 P 2.61, 2 As 2.67, 1 Cd 2.88
Ge  0.2594  0.2323  0.7214 x1  2 P 2.46-2.48, 1 As 2.52, 1 Cd 2.75
As  0.2719  0.8747  0.3356 x1  1 Ge 2.52, 2 Sn 2.67, 1 Cd 2.76
P  0.7712  0.5174  0.7152 x1  2 Ge 2.46-2.48, 1 Sn 2.61, 1 Cd 2.61

---

Record 22
Computed, not measured: a relaxed structure of CdSnGeAsP at the PBE level of DFT.

## Properties
As for the energy above the most stable polymorph in this dataset: 0.36 eV/f.u. The value obtained for the formation energy is 0.06 eV per atom. The uncorrected energy comes out at -0.284 Ry/atom.

Cell lengths 3.8821, 5.5479, 6.6944 Å; angles 100.02, 90.01, 90.13 degrees
Closest atoms and distances in Å follow each position.
Space group P1 (No. 1)
Unique sites:
Cd  0.0000  0.0000  0.0000 x1  1 Ge 2.72, 1 Sn 2.89, 1 P 3.03
Sn  0.0044  0.5941  0.6652 x1  2 As 2.69, 1 Ge 2.71, 1 Cd 2.89
Ge  0.0043  0.4369  0.2585 x1  2 P 2.46, 1 Sn 2.71, 1 Cd 2.72
As  0.5036  0.3428  0.8166 x1  1 P 2.35
P  0.5049  0.6277  0.1216 x1  1 As 2.35, 2 Ge 2.46